Zr3TaHg: relaxed, GGA-PBE.

Computed properties:
The electronic total energy is -33.4 eV/f.u. The value obtained for the energy of formation from the pure elements is 886 meV per atom. The energy above the lowest structure with this stoichiometry is 0 meV per atom.

a = 5.131 Å, b = 5.131 Å, c = 5.131 Å
α = 90.00°, β = 90.00°, γ = 90.00°
Space group Pm-3m (No. 221)
One atom of each set of equivalent atoms:
Zr: 0.000 0.000 0.500 x3
Ta: 0.000 0.000 0.000 x1
Hg: 0.500 0.500 0.500 x1